Below is a relaxed Ni2NF crystal, with properties calculated at the PBE with a Hubbard U level.

Cell and atoms, written as POSCAR:
```
Ni2NF
1.0
0.000 2.641 2.641
2.641 0.000 2.641
2.641 2.641 0.000
Ni N F
2 1 1
Direct
0.250 0.250 0.250
0.750 0.750 0.750
0.000 0.000 0.000
0.500 0.500 0.500
```

Properties
Density of states at the Fermi level in states/eV per atom: 2.1405
Total moment in μB/f.u.: 4.0
Raw total energy in eV per atom: -3.07